{
  "formula": "TlAgHg3",
  "functional": "GGA-PBE",
  "state": "relaxed",
  "lattice_angstrom": [[5.4348, 0.0000, 0.0000], [0.0000, 5.4348, 0.0000], [0.0000, 0.0000, 5.4348]],
  "species": ["Tl", "Ag", "Hg", "Hg", "Hg"],
  "fractional_positions": [[0.0000, 0.0000, 0.0000], [0.5000, 0.5000, 0.5000], [0.0000, 0.5000, 0.5000], [0.5000, 0.0000, 0.5000], [0.5000, 0.5000, 0.0000]],
  "formation_energy_ev_per_atom": 0.139,
  "relative_energy_ev_per_atom": 0.0913,
  "total_energy_ev_per_atom": -1.09,
  "space_group": "Pm-3m, No. 221",
  "rho_g_cm3": 9.5
}